# 1
# GaTc2BiBr | Alexandria via LeMat-Bulk | SCAN | PBEsol geometry
data_GaTc2BiBr
_cell_length_a 4.794
_cell_length_b 4.794
_cell_length_c 4.839
_cell_angle_alpha 90.00
_cell_angle_beta 90.00
_cell_angle_gamma 90.00
_space_group_name_H-M_alt 'P 1'
_space_group_IT_number 1
_space_group_name_Hall 'P 1'
loop_
_atom_site_label
_atom_site_type_symbol
_atom_site_fract_x
_atom_site_fract_y
_atom_site_fract_z
Ga1 Ga 0.000 0.000 0.000
Tc1 Tc 0.000 0.500 0.000
Tc2 Tc 0.500 0.000 0.000
Bi1 Bi 0.500 0.500 0.500
Br1 Br 0.000 0.000 0.500
# - Formation energy without anion corrections: 1.301 eV per atom
# - E: -35.6004 eV per atom

---

# 2
# TiGaBi2Br | Alexandria via LeMat-Bulk | SCAN | PBEsol geometry
data_TiGaBi2Br
_cell_length_a 5.281
_cell_length_b 5.281
_cell_length_c 5.152
_cell_angle_alpha 90.00
_cell_angle_beta 90.00
_cell_angle_gamma 90.00
_space_group_name_H-M_alt 'P 1'
_space_group_IT_number 1
_space_group_name_Hall 'P 1'
loop_
_atom_site_label
_atom_site_type_symbol
_atom_site_fract_x
_atom_site_fract_y
_atom_site_fract_z
Ti1 Ti 0.000 0.000 0.000
Ga1 Ga 0.000 0.000 0.500
Bi1 Bi 0.000 0.500 0.000
Bi2 Bi 0.500 0.000 0.000
Br1 Br 0.500 0.500 0.500
# - Formation energy without anion corrections: 0.087 eV per atom
# - E: -41.7123 eV per atom

---

# 3
# Ge2Bi2Br | Alexandria via LeMat-Bulk | SCAN | PBEsol geometry
data_Ge2Bi2Br
_cell_length_a 7.940
_cell_length_b 7.940
_cell_length_c 7.940
_cell_angle_alpha 148.13
_cell_angle_beta 148.13
_cell_angle_gamma 45.69
_space_group_name_H-M_alt 'P 1'
_space_group_IT_number 1
_space_group_name_Hall 'P 1'
loop_
_atom_site_label
_atom_site_type_symbol
_atom_site_fract_x
_atom_site_fract_y
_atom_site_fract_z
Ge1 Ge 0.250 0.750 0.500
Ge2 Ge 0.750 0.250 0.500
Bi1 Bi 0.122 0.122 0.000
Bi2 Bi 0.878 0.878 0.000
Br1 Br 0.500 0.500 0.000
# - Formation energy without anion corrections: -0.012 eV per atom
# - E: -42.9710 eV per atom

---

# 4
# NaGe2BiBr | Alexandria via LeMat-Bulk | SCAN | PBEsol geometry
data_NaGe2BiBr
_cell_length_a 5.217
_cell_length_b 5.217
_cell_length_c 5.723
_cell_angle_alpha 90.00
_cell_angle_beta 90.00
_cell_angle_gamma 90.00
_space_group_name_H-M_alt 'P 1'
_space_group_IT_number 1
_space_group_name_Hall 'P 1'
loop_
_atom_site_label
_atom_site_type_symbol
_atom_site_fract_x
_atom_site_fract_y
_atom_site_fract_z
Na1 Na 0.000 0.000 0.000
Ge1 Ge 0.000 0.500 0.500
Ge2 Ge 0.500 0.000 0.500
Bi1 Bi 0.500 0.500 0.000
Br1 Br 0.500 0.500 0.500
# - Formation energy without anion corrections: 0.764 eV per atom
# - E: -27.3217 eV per atom